(1)
# AcSnP2Rh5, relaxed, DFT GGA-PBE
# Size of the total moment   0.0 μB per cell
# Final energy   -7.015 eV/atom
data_AcSnP2Rh5
_cell_length_a 4.117
_cell_length_b 4.117
_cell_length_c 9.104
_cell_angle_alpha 90.00
_cell_angle_beta 90.00
_cell_angle_gamma 90.00
_space_group_name_H-M_alt 'P 4/m m m'
_space_group_IT_number 123
_space_group_name_Hall '-P 4 2'
loop_
_atom_site_label
_atom_site_fract_x
_atom_site_fract_y
_atom_site_fract_z
Ac1 0.000 0.000 0.000
Sn1 0.000 0.000 0.500
P1 0.500 0.500 0.169
Rh1 0.000 0.500 0.282
Rh2 0.500 0.500 0.500

***

(2)
# NaAs2W2, relaxed, DFT GGA-PBE
# Energy above the lowest structure with this stoichiometry   0.000 eV per atom
# Size of the total moment   0.0 μB per cell
data_NaAs2W2
_cell_length_a 3.784
_cell_length_b 3.784
_cell_length_c 14.916
_cell_angle_alpha 90.00
_cell_angle_beta 90.00
_cell_angle_gamma 90.00
_space_group_name_H-M_alt 'I 4/m m m'
_space_group_IT_number 139
_space_group_name_Hall '-I 4 2'
loop_
_atom_site_label
_atom_site_fract_x
_atom_site_fract_y
_atom_site_fract_z
Na1 0.000 0.000 0.000
As1 0.000 0.000 0.374
W1 0.000 0.500 0.250

***

(3)
# Sm4TlCo, relaxed, DFT GGA-PBE
# Energy above the lowest structure with this stoichiometry   0.000 eV per atom
# Size of the total moment   0.0 μB per cell
data_Sm4TlCo
_cell_length_a 13.799
_cell_length_b 13.799
_cell_length_c 13.799
_cell_angle_alpha 90.00
_cell_angle_beta 90.00
_cell_angle_gamma 90.00
_space_group_name_H-M_alt 'F -4 3 m'
_space_group_IT_number 216
_space_group_name_Hall 'F -4 2 3'
loop_
_atom_site_label
_atom_site_fract_x
_atom_site_fract_y
_atom_site_fract_z
Sm1 0.000 0.000 0.189
Sm2 0.059 0.250 0.750
Sm3 0.153 0.153 0.347
Tl1 0.084 0.084 0.584
Co1 0.141 0.141 0.141

***

(4)
# Ac3Pm2NdS6, relaxed, DFT GGA-PBE
# Size of the total moment   0.0 μB per cell
# ΔE_f (raw)   -2014 meV/atom
data_Ac3Pm2NdS6
_cell_length_a 7.205
_cell_length_b 12.502
_cell_length_c 7.264
_cell_angle_alpha 90.00
_cell_angle_beta 109.41
_cell_angle_gamma 90.00
_space_group_name_H-M_alt 'C 1 2/m 1'
_space_group_IT_number 12
loop_
_space_group_symop_operation_xyz
'x,y,z'
'-x,-y,-z'
'-x,y,-z'
'x,-y,z'
'x+1/2,y+1/2,z'
'-x+1/2,-y+1/2,-z'
'-x+1/2,y+1/2,-z'
'x+1/2,-y+1/2,z'
loop_
_atom_site_label
_atom_site_fract_x
_atom_site_fract_y
_atom_site_fract_z
Ac1 0.000 0.000 0.000
Ac2 0.000 0.334 0.000
Pm1 0.000 0.167 0.500
Nd1 0.000 0.500 0.500
S1 0.242 0.000 0.732
S2 0.245 0.332 0.733

***

(5)
# ScIr2Os, relaxed, DFT GGA-PBE
# Energy above the lowest structure with this stoichiometry   0.093 eV per atom
# Size of the total moment   0.0 μB per cell
data_ScIr2Os
_cell_length_a 3.929
_cell_length_b 3.929
_cell_length_c 7.986
_cell_angle_alpha 90.00
_cell_angle_beta 90.00
_cell_angle_gamma 90.00
_space_group_name_H-M_alt 'I -4 m 2'
_space_group_IT_number 119
_space_group_name_Hall 'I -4 -2'
loop_
_atom_site_label
_atom_site_fract_x
_atom_site_fract_y
_atom_site_fract_z
Sc1 0.000 0.000 0.000
Ir1 0.000 0.000 0.500
Ir2 0.000 0.500 0.750
Os1 0.000 0.500 0.250

***

(6)
# Pu4Cd3O12, relaxed, DFT GGA-PBE
# Size of the total moment   28.0 μB per cell
# ΔE_f (raw)   -2288 meV/atom
data_Pu4Cd3O12
_cell_length_a 8.324
_cell_length_b 8.324
_cell_length_c 8.324
_cell_angle_alpha 90.00
_cell_angle_beta 90.00
_cell_angle_gamma 90.00
_space_group_name_H-M_alt 'I m -3'
_space_group_IT_number 204
_space_group_name_Hall '-I 2 2 3'
loop_
_atom_site_label
_atom_site_fract_x
_atom_site_fract_y
_atom_site_fract_z
Pu1 0.250 0.250 0.250
Cd1 0.000 0.000 0.500
O1 0.000 0.308 0.195

***

(7)
# YGeBiO5, relaxed, DFT GGA-PBE
# Energy above the lowest structure with this stoichiometry   0.115 eV per atom
# Size of the total moment   0.0 μB per cell
# ΔE_f (raw)   -2088 meV/atom
data_YGeBiO5
_cell_length_a 6.882
_cell_length_b 9.657
_cell_length_c 7.696
_cell_angle_alpha 90.00
_cell_angle_beta 110.34
_cell_angle_gamma 90.00
_space_group_name_H-M_alt 'C 1 2/c 1'
_space_group_IT_number 15
loop_
_space_group_symop_operation_xyz
'x,y,z'
'-x,-y,-z'
'-x,y,-z+1/2'
'x,-y,z+1/2'
'x+1/2,y+1/2,z'
'-x+1/2,-y+1/2,-z'
'-x+1/2,y+1/2,-z+1/2'
'x+1/2,-y+1/2,z+1/2'
loop_
_atom_site_label
_atom_site_fract_x
_atom_site_fract_y
_atom_site_fract_z
Y1 0.000 0.000 0.000
Ge1 0.000 0.322 0.250
Bi1 0.000 0.327 0.750
O1 0.000 0.109 0.750
O2 0.132 0.208 0.142
O3 0.163 0.429 0.428

***

(8)
# LiZrZn, relaxed, DFT GGA-PBE
# Energy above the lowest structure with this stoichiometry   0.090 eV per atom
# Size of the total moment   0.1 μB per cell
data_LiZrZn
_cell_length_a 4.6294
_cell_length_b 4.6294
_cell_length_c 2.8009
_cell_angle_alpha 90.00
_cell_angle_beta 90.00
_cell_angle_gamma 120.00
_space_group_name_H-M_alt 'P -6 m 2'
_space_group_IT_number 187
_space_group_name_Hall 'P -6 2'
loop_
_atom_site_label
_atom_site_fract_x
_atom_site_fract_y
_atom_site_fract_z
Li1 0.0000 0.0000 0.0000
Zr1 0.3333 0.6667 0.5000
Zn1 0.6667 0.3333 0.0000

***

(9)
# KCuBr2, relaxed, DFT GGA-PBE
# Energy above the lowest structure with this stoichiometry   0.001 eV per atom
# Size of the total moment   0.0 μB per cell
# ΔE_f (raw)   -995 meV/atom
data_KCuBr2
_cell_length_a 9.764
_cell_length_b 4.173
_cell_length_c 12.482
_cell_angle_alpha 90.00
_cell_angle_beta 90.00
_cell_angle_gamma 90.00
_space_group_name_H-M_alt 'P n m a'
_space_group_IT_number 62
loop_
_space_group_symop_operation_xyz
'x,y,z'
'-x,-y,-z'
'-x+1/2,-y,z+1/2'
'x+1/2,y,-z+1/2'
'x+1/2,-y+1/2,-z+1/2'
'-x+1/2,y+1/2,z+1/2'
'-x,y+1/2,-z'
'x,-y+1/2,z'
loop_
_atom_site_label
_atom_site_fract_x
_atom_site_fract_y
_atom_site_fract_z
K1 0.247 0.250 0.199
Cu1 0.041 0.750 0.439
Br1 0.003 0.250 0.756
Br2 0.189 0.250 0.475

***

(10)
# Na2PuAgO4, relaxed, DFT GGA-PBE
# Size of the total moment   3.0 μB per cell
# ΔE_f (raw)   -1849 meV/atom
data_Na2PuAgO4
_cell_length_a 5.748
_cell_length_b 3.566
_cell_length_c 5.807
_cell_angle_alpha 90.00
_cell_angle_beta 99.12
_cell_angle_gamma 90.00
_space_group_name_H-M_alt 'P 1 2/m 1'
_space_group_IT_number 10
loop_
_space_group_symop_operation_xyz
'x,y,z'
'-x,-y,-z'
'-x,y,-z'
'x,-y,z'
loop_
_atom_site_label
_atom_site_fract_x
_atom_site_fract_y
_atom_site_fract_z
Na1 0.000 0.000 0.000
Na2 0.000 0.500 0.500
Pu1 0.500 0.000 0.500
Ag1 0.500 0.500 0.000
O1 0.238 0.000 0.678
O2 0.309 0.500 0.289

***

(11)
# YBrN2F, relaxed, DFT GGA-PBE
# Energy above the lowest structure with this stoichiometry   0.478 eV per atom
# Size of the total moment   0.0 μB per cell
# ΔE_f (raw)   436 meV/atom
data_YBrN2F
_cell_length_a 4.094
_cell_length_b 4.094
_cell_length_c 4.240
_cell_angle_alpha 90.00
_cell_angle_beta 90.00
_cell_angle_gamma 90.00
_space_group_name_H-M_alt 'P 4/m m m'
_space_group_IT_number 123
_space_group_name_Hall '-P 4 2'
loop_
_atom_site_label
_atom_site_fract_x
_atom_site_fract_y
_atom_site_fract_z
Y1 0.000 0.000 0.000
Br1 0.500 0.500 0.500
N1 0.000 0.500 0.500
F1 0.500 0.500 0.000

***

(12)
# Ba3Li2Hg2, relaxed, DFT GGA-PBE
# Size of the total moment   0.0 μB per cell
# Final energy   -1.748 eV/atom
data_Ba3Li2Hg2
_cell_length_a 6.859
_cell_length_b 8.750
_cell_length_c 16.770
_cell_angle_alpha 90.00
_cell_angle_beta 90.00
_cell_angle_gamma 90.00
_space_group_name_H-M_alt 'P b c m'
_space_group_IT_number 57
loop_
_space_group_symop_operation_xyz
'x,y,z'
'-x,-y,-z'
'-x,-y,z+1/2'
'x,y,-z+1/2'
'x,-y+1/2,-z'
'-x,y+1/2,z'
'-x,y+1/2,-z+1/2'
'x,-y+1/2,z+1/2'
loop_
_atom_site_label
_atom_site_fract_x
_atom_site_fract_y
_atom_site_fract_z
Ba1 0.105 0.108 0.104
Ba2 0.364 0.746 0.750
Li1 0.404 0.039 0.579
Hg1 0.161 0.104 0.750
Hg2 0.334 0.750 0.000